Run P
{
  "formula": "CoAsF2",
  "functional": "GGA+U",
  "state": "optimized geometry",
  "vol_a3_per_atom": 18.3,
  "magnetic_moment_mub_per_atom": 0.75,
  "lattice": [[5.975, 0.000, 0.000], [0.000, 5.975, 0.000], [2.987, 2.987, 4.090]],
  "species": ["F", "Co", "Co", "F", "F", "As", "F", "As"],
  "frac_coords": [[0.375, 0.521, 0.750], [0.250, 0.750, 0.500], [0.500, 0.500, 0.000], [0.271, 0.625, 0.250], [0.479, 0.125, 0.250], [0.750, 0.250, 0.500], [0.875, 0.729, 0.750], [0.000, 0.000, 0.000]]
}

Run Q
{
  "formula": "CoAsF2",
  "functional": "GGA+U",
  "state": "optimized geometry",
  "vol_a3_per_atom": 17.6,
  "magnetic_moment_mub_per_atom": 0.26,
  "lattice": [[1.719, 0.000, 9.158], [-0.860, 1.489, 9.158], [-0.860, -1.489, 9.158]],
  "species": ["As", "Co", "F", "F"],
  "frac_coords": [[0.000, 0.000, 0.000], [0.500, 0.500, 0.500], [0.127, 0.127, 0.127], [0.873, 0.873, 0.873]]
}

Run R
{
  "formula": "CoAsF2",
  "functional": "GGA+U",
  "state": "optimized geometry",
  "vol_a3_per_atom": 13.4,
  "magnetic_moment_mub_per_atom": 0.54,
  "lattice": [[-0.085, -3.232, -2.731], [-2.826, -3.111, 0.491], [-3.217, -0.385, -2.722]],
  "species": ["As", "F", "F", "Co"],
  "frac_coords": [[0.500, 0.500, 0.500], [0.750, 0.750, 0.750], [0.250, 0.250, 0.250], [0.000, 0.000, 0.000]]
}

Which is most stable, and by how much? run Q, by 120 meV per atom.